This record from Alexandria via LeMat-Bulk describes TaAu2C2 after structural relaxation. The functional is PBE.

Properties
Spin magnetization = 0.00 Bohr magnetons per cell
Space-group type = P4/mbm, No. 127
Volume = 145 Å³/cell
Formation energy = 1.92 eV/atom
Excess energy over the best structure of this formula in the dataset = 459 meV per atom
Calculated density = 13.7 g/cm³

a b c (Å): 7.056 7.056 2.905
angles (deg): 90.00 90.00 90.00
Sites, in units of the cell vectors:
Au: 0.130 0.370 0.000
Au: 0.630 0.130 0.000
Ta: 0.000 0.000 0.000
Ta: 0.500 0.500 0.000
Au: 0.870 0.630 0.000
Au: 0.370 0.870 0.000
C: 0.709 0.791 0.500
C: 0.291 0.209 0.500
C: 0.209 0.709 0.500
C: 0.791 0.291 0.500